# Si2SnHg2

Crystalline Si2SnHg2 at its relaxed geometry (GGA-PBEsol, Alexandria via LeMat-Bulk).

Unit cell a=3.4464 b=3.4464 c=17.9245 alpha=90.00 beta=90.00 gamma=90.00
With the nearest neighbours (Å) after each atom.
Space group I4/mmm (No. 139)
Asymmetric unit:
Si1 0.0000 0.5000 0.2500 (multiplicity 4)  4 Si 2.44
Sn1 0.0000 0.0000 0.0000 (multiplicity 2)  8 Hg 3.17, 4 Sn 3.45
Hg1 0.0000 0.0000 0.3871 (multiplicity 4)  4 Si 3.00, 4 Sn 3.17

Raw formation energy: 0.2207 eV per atom
E: -3.157 eV/atom
Fermi-level density of states: 3.6 states/eV/cell